# 1
Material: AlSb2Te
Method: DFT, GGA-PBEsol
State: relaxed Values from VASP.

Geometry as Quantum ESPRESSO input:
```
&SYSTEM
  ibrav = 0, nat = 4, ntyp = 3
/
ATOMIC_SPECIES
Sb 121.76 Sb.upf
Te 127.60 Te.upf
Al 26.98 Al.upf
CELL_PARAMETERS angstrom
4.2690 0.0000 0.0000
0.0000 4.2690 0.0000
-2.1345 -2.1345 5.5674
ATOMIC_POSITIONS angstrom
Sb 2.1345 0.0000 2.7837
Sb 0.0000 2.1345 2.7837
Te 2.1345 2.1345 0.0000
Al 0.0000 0.0000 0.0000
```

Values from the calculation:
As for the mass density: 6.52 g/cm3. The calculation puts the raw formation energy at 0.223 eV per atom. The calculation puts the distance to the lowest polymorph of the same formula at 5.5 kJ/mol of atoms. The raw total energy comes out at -15.8 eV per cell. For the size of the total moment, the calculation gives 0.000 μB per atom.


# 2
Material: TbLuIn2
Method: DFT, GGA-PBEsol
State: relaxed Values from VASP.

Geometry as Quantum ESPRESSO input:
```
&SYSTEM
  ibrav = 0, nat = 4, ntyp = 3
/
ATOMIC_SPECIES
Lu 174.97 Lu.upf
Tb 158.93 Tb.upf
In 114.82 In.upf
CELL_PARAMETERS angstrom
5.1867 0.0000 0.0000
2.5933 4.4918 0.0000
2.5933 1.4973 4.2349
ATOMIC_POSITIONS angstrom
Lu 0.0000 0.0000 0.0000
Tb 5.1867 2.9945 2.1174
In 7.7800 4.4918 3.1762
In 2.5933 1.4973 1.0587
```

Values from the calculation:
As for the mass density: 9.48 g/cm3. The raw total energy comes out at -17.8 eV per cell. For the size of the total moment, the calculation gives 0.000 μB per atom.


# 3
Material: LaTaBr
Method: DFT, GGA-PBEsol
State: relaxed Values from VASP.

Geometry as Quantum ESPRESSO input:
```
&SYSTEM
  ibrav = 0, nat = 3, ntyp = 3
/
ATOMIC_SPECIES
La 138.91 La.upf
Br 79.90 Br.upf
Ta 180.95 Ta.upf
CELL_PARAMETERS angstrom
3.2509 0.0000 0.0000
-1.6254 2.8153 0.0000
0.0000 0.0000 7.5701
ATOMIC_POSITIONS angstrom
La 1.6254 0.9384 4.9728
Br 0.0000 0.0000 0.3582
Ta 0.0000 1.8769 2.2390
```

Values from the calculation:
As for the mass density: 9.58 g/cm3. The calculation puts the raw formation energy at 0.028 eV per atom. The calculation puts the distance to the lowest polymorph of the same formula at 0.0 kJ/mol of atoms. The raw total energy comes out at -19.7 eV per cell. For the size of the total moment, the calculation gives 0.001 μB per atom.


# 4
Material: MgAg4
Method: DFT, GGA-PBEsol
State: relaxed Values from VASP.

Geometry as Quantum ESPRESSO input:
```
&SYSTEM
  ibrav = 0, nat = 5, ntyp = 2
/
ATOMIC_SPECIES
Mg 24.30 Mg.upf
Ag 107.87 Ag.upf
CELL_PARAMETERS angstrom
-0.0242 0.6945 2.9559
-2.1527 -2.0886 0.4731
7.6024 -5.6662 -0.1661
ATOMIC_POSITIONS angstrom
Mg 0.0000 0.0000 0.0000
Ag 5.2046 -5.0841 1.2371
Ag 2.8123 -4.5075 2.6417
Ag 2.6132 -2.5528 0.6212
Ag 0.2210 -1.9761 2.0257
```

Values from the calculation:
As for the mass density: 8.89 g/cm3. The raw total energy comes out at -15.4 eV per cell. For the size of the total moment, the calculation gives 0.000 μB per atom.


# 5
Material: CoAgAs2
Method: DFT, GGA-PBEsol
State: relaxed Values from VASP.

Geometry as Quantum ESPRESSO input:
```
&SYSTEM
  ibrav = 0, nat = 4, ntyp = 3
/
ATOMIC_SPECIES
As 74.92 As.upf
Co 58.93 Co.upf
Ag 107.87 Ag.upf
CELL_PARAMETERS angstrom
-0.4914 1.1837 2.9829
-2.9416 -1.3724 0.0600
2.3615 -4.9586 2.3568
ATOMIC_POSITIONS angstrom
As 0.0210 -0.0441 0.0209
As -0.9590 -1.6849 2.2774
Co 0.9879 -2.0743 0.9859
Ag 0.0594 -3.8233 3.2938
```

Values from the calculation:
As for the mass density: 8.35 g/cm3. The calculation puts the distance to the lowest polymorph of the same formula at 14.3 kJ/mol of atoms. The raw total energy comes out at -20.5 eV per cell. For the size of the total moment, the calculation gives 0.000 μB per atom.


# 6
Material: RbNaZn2
Method: DFT, GGA-PBEsol
State: relaxed Values from VASP.

Geometry as Quantum ESPRESSO input:
```
&SYSTEM
  ibrav = 0, nat = 4, ntyp = 3
/
ATOMIC_SPECIES
Na 22.99 Na.upf
Zn 65.41 Zn.upf
Rb 85.47 Rb.upf
CELL_PARAMETERS angstrom
-5.4945 0.7726 0.2124
-3.0231 -0.2680 -4.6498
-3.4395 -4.2788 -0.8325
ATOMIC_POSITIONS angstrom
Na 0.0000 0.0000 0.0000
Zn -2.9893 -0.9436 -1.3175
Zn -8.9678 -2.8307 -3.9524
Rb -5.9785 -1.8871 -2.6350
```

Values from the calculation:
As for the mass density: 3.28 g/cm3. The raw total energy comes out at -4.3 eV per cell. For the size of the total moment, the calculation gives 0.000 μB per atom.


# 7
Material: LiMgIr2
Method: DFT, GGA-PBEsol
State: relaxed Values from VASP.

Geometry as Quantum ESPRESSO input:
```
&SYSTEM
  ibrav = 0, nat = 4, ntyp = 3
/
ATOMIC_SPECIES
Mg 24.30 Mg.upf
Ir 192.22 Ir.upf
Li 6.94 Li.upf
CELL_PARAMETERS angstrom
2.7934 0.0000 0.0000
0.0000 4.4551 0.0000
0.0000 0.0000 4.5024
ATOMIC_POSITIONS angstrom
Mg 1.3967 2.2275 1.4379
Ir 1.3967 0.0000 4.1702
Ir 0.0000 2.2275 3.6776
Li 0.0000 0.0000 1.9703
```

Values from the calculation:
As for the mass density: 12.32 g/cm3. The raw total energy comes out at -24.1 eV per cell. For the size of the total moment, the calculation gives 0.000 μB per atom.


# 8
Material: LaMnSi3
Method: DFT, GGA-PBEsol
State: relaxed Values from VASP.

Geometry as Quantum ESPRESSO input:
```
&SYSTEM
  ibrav = 0, nat = 5, ntyp = 3
/
ATOMIC_SPECIES
Si 28.09 Si.upf
Mn 54.94 Mn.upf
La 138.91 La.upf
CELL_PARAMETERS angstrom
5.3415 0.0000 0.0000
0.0000 5.3415 0.0000
0.0000 0.0000 5.3415
ATOMIC_POSITIONS angstrom
Si 0.0000 2.6707 0.0000
Si 0.0000 0.0000 2.6707
Si 2.6707 0.0000 0.0000
Mn 2.6707 2.6707 2.6707
La 0.0000 0.0000 0.0000
```

Values from the calculation:
As for the mass density: 3.03 g/cm3. The calculation puts the raw formation energy at 1.708 eV per atom. The raw total energy comes out at -23.8 eV per cell. For the size of the total moment, the calculation gives 0.914 μB per atom.